Entry 1:
DFT (PBE) results for a relaxed structure of TbSmYN3.

Computed properties:
ΔE_f (raw), eV/atom: -1.39
E, eV per atom: -8.190
Spin magnetization, μB/cell: 0.0
Space-group type: No. 11

Unit cell a=6.046 b=3.477 c=9.120 alpha=90.00 beta=101.08 gamma=90.00
Sites, in units of the cell vectors:
Tb 0.157 0.250 0.138
Tb 0.843 0.750 0.862
Sm 0.336 0.250 0.798
Sm 0.664 0.750 0.202
Y 0.232 0.750 0.455
Y 0.768 0.250 0.545
N 0.036 0.750 0.655
N 0.247 0.750 0.000
N 0.464 0.250 0.332
N 0.536 0.750 0.668
N 0.753 0.250 0.000
N 0.964 0.250 0.345

---

Entry 2:
DFT (PBE) results for a relaxed structure of In2Co.

Computed properties:
E, eV per atom: -3.370
Spin magnetization, μB/cell: 5.5
DOS at the Fermi energy, states/eV/atom: 1.18
Formation energy, eV per atom: 0.824
Space-group type: No. 194

Unit cell a=5.707 b=5.707 c=10.112 alpha=90.00 beta=90.00 gamma=120.00
Sites, in units of the cell vectors:
In 0.000 0.000 0.000
In 0.000 0.000 0.500
In 0.170 0.340 0.250
In 0.170 0.830 0.250
In 0.340 0.170 0.750
In 0.660 0.830 0.250
In 0.830 0.170 0.750
In 0.830 0.660 0.750
Co 0.333 0.667 0.033
Co 0.333 0.667 0.467
Co 0.667 0.333 0.533
Co 0.667 0.333 0.967